Entry A
{"formula": "YTa2Be", "functional": "GGA-PBE", "state": "relaxed", "sg": "Pmmm", "lattice": [[3.021, 0.000, 0.000], [0.000, 3.350, 0.000], [0.000, 0.000, 7.342]], "species": ["Y", "Ta", "Ta", "Be"], "frac_coords": [[0.000, 0.000, 0.000], [0.500, 0.500, 0.318], [0.500, 0.500, 0.682], [0.000, 0.000, 0.500]]}

Entry B
{"formula": "YTa2Be", "functional": "GGA-PBE", "state": "relaxed", "sg": "P4mm", "lattice": [[3.380, 0.000, 0.000], [0.000, 3.380, 0.000], [0.000, 0.000, 6.669]], "species": ["Y", "Ta", "Ta", "Be"], "frac_coords": [[0.000, 0.000, 0.000], [0.000, 0.000, 0.470], [0.500, 0.500, 0.686], [0.500, 0.500, 0.300]]}

Entry C
{"formula": "YTa2Be", "functional": "GGA-PBE", "state": "relaxed", "sg": "Imm2", "lattice": [[-1.945, 2.202, 4.349], [1.945, -2.202, 4.349], [1.945, 2.202, -4.349]], "species": ["Y", "Ta", "Ta", "Be"], "frac_coords": [[0.000, 0.000, 0.000], [0.443, 0.443, 0.000], [0.732, 0.232, 0.500], [0.246, 0.746, 0.500]]}

Energetically preferred structure: entry B | next structure: +0.141 eV/atom

Entry A
{"formula": "Y3TaBe", "functional": "GGA-PBE", "state": "relaxed", "sg": "Pm-3m", "lattice": [[5.120, 0.000, 0.000], [0.000, 5.120, 0.000], [0.000, 0.000, 5.120]], "species": ["Y", "Y", "Y", "Ta", "Be"], "frac_coords": [[0.000, 0.000, 0.500], [0.000, 0.500, 0.000], [0.500, 0.000, 0.000], [0.500, 0.500, 0.500], [0.000, 0.000, 0.000]]}

Entry B
{"formula": "Y3TaBe", "functional": "GGA-PBE", "state": "relaxed", "sg": "Pm-3m", "lattice": [[5.424, 0.000, 0.000], [0.000, 5.424, 0.000], [0.000, 0.000, 5.424]], "species": ["Y", "Y", "Y", "Ta", "Be"], "frac_coords": [[0.000, 0.000, 0.500], [0.000, 0.500, 0.000], [0.500, 0.000, 0.000], [0.000, 0.000, 0.000], [0.500, 0.500, 0.500]]}

Energetically preferred structure: entry A | next structure: +0.288 eV/atom

Entry A
{"formula": "TaBe3Zn", "functional": "GGA-PBE", "state": "relaxed", "sg": "Pm-3m", "lattice": [[3.968, 0.000, 0.000], [0.000, 3.968, 0.000], [0.000, 0.000, 3.968]], "species": ["Ta", "Be", "Be", "Be", "Zn"], "frac_coords": [[0.000, 0.000, 0.000], [0.000, 0.500, 0.500], [0.500, 0.000, 0.500], [0.500, 0.500, 0.000], [0.500, 0.500, 0.500]]}

Entry B
{"formula": "TaBe3Zn", "functional": "GGA-PBE", "state": "relaxed", "sg": "Pm-3m", "lattice": [[4.503, 0.000, 0.000], [0.000, 4.503, 0.000], [0.000, 0.000, 4.503]], "species": ["Ta", "Be", "Be", "Be", "Zn"], "frac_coords": [[0.000, 0.000, 0.000], [0.000, 0.000, 0.500], [0.000, 0.500, 0.000], [0.500, 0.000, 0.000], [0.500, 0.500, 0.500]]}

Energetically preferred structure: entry A | next structure: +0.936 eV/atom

Entry A
{"formula": "Ta4BeZn", "functional": "GGA-PBE", "state": "relaxed", "sg": "F-43m", "lattice": [[0.000, 3.821, 3.821], [3.821, 0.000, 3.821], [3.821, 3.821, 0.000]], "species": ["Ta", "Ta", "Ta", "Ta", "Be", "Zn"], "frac_coords": [[0.125, 0.125, 0.125], [0.125, 0.125, 0.625], [0.125, 0.625, 0.125], [0.625, 0.125, 0.125], [0.500, 0.500, 0.500], [0.750, 0.750, 0.750]]}

Entry B
{"formula": "Ta4BeZn", "functional": "GGA-PBE", "state": "relaxed", "sg": "P4/mcc", "lattice": [[6.172, 0.000, 0.000], [0.000, 6.172, 0.000], [0.000, 0.000, 5.002]], "species": ["Ta", "Ta", "Ta", "Ta", "Ta", "Ta", "Ta", "Ta", "Be", "Be", "Zn", "Zn"], "frac_coords": [[0.140, 0.325, 0.000], [0.140, 0.675, 0.500], [0.325, 0.140, 0.500], [0.325, 0.860, 0.000], [0.675, 0.140, 0.000], [0.675, 0.860, 0.500], [0.860, 0.325, 0.500], [0.860, 0.675, 0.000], [0.000, 0.000, 0.250], [0.000, 0.000, 0.750], [0.500, 0.500, 0.250], [0.500, 0.500, 0.750]]}

Energetically preferred structure: entry B | next structure: +0.859 eV/atom

Entry A
{"formula": "TaBeZn3", "functional": "GGA-PBE", "state": "relaxed", "sg": "Pm-3m", "lattice": [[4.171, 0.000, 0.000], [0.000, 4.171, 0.000], [0.000, 0.000, 4.171]], "species": ["Ta", "Be", "Zn", "Zn", "Zn"], "frac_coords": [[0.000, 0.000, 0.000], [0.500, 0.500, 0.500], [0.000, 0.500, 0.500], [0.500, 0.000, 0.500], [0.500, 0.500, 0.000]]}

Entry B
{"formula": "TaBeZn3", "functional": "GGA-PBE", "state": "relaxed", "sg": "Pm-3m", "lattice": [[5.015, 0.000, 0.000], [0.000, 5.015, 0.000], [0.000, 0.000, 5.015]], "species": ["Ta", "Be", "Zn", "Zn", "Zn"], "frac_coords": [[0.000, 0.000, 0.000], [0.500, 0.500, 0.500], [0.000, 0.000, 0.500], [0.000, 0.500, 0.000], [0.500, 0.000, 0.000]]}

Energetically preferred structure: entry A | next structure: +1.037 eV/atom

Entry A
{"formula": "TaBeZn", "functional": "GGA-PBE", "state": "relaxed", "sg": "Cmcm", "lattice": [[2.317, -3.460, 0.000], [2.317, 3.460, 0.000], [0.000, 0.000, 5.043]], "species": ["Ta", "Ta", "Be", "Be", "Zn", "Zn"], "frac_coords": [[0.146, 0.854, 0.750], [0.854, 0.146, 0.250], [0.210, 0.790, 0.250], [0.790, 0.210, 0.750], [0.500, 0.500, 0.000], [0.500, 0.500, 0.500]]}

Entry B
{"formula": "TaBeZn", "functional": "GGA-PBE", "state": "relaxed", "sg": "F-43m", "lattice": [[0.000, 2.788, 2.788], [2.788, 0.000, 2.788], [2.788, 2.788, 0.000]], "species": ["Ta", "Be", "Zn"], "frac_coords": [[0.000, 0.000, 0.000], [0.250, 0.250, 0.250], [0.500, 0.500, 0.500]]}

Entry C
{"formula": "TaBeZn", "functional": "GGA-PBE", "state": "relaxed", "sg": "P-6m2", "lattice": [[3.952, 0.000, 0.000], [-1.976, 3.422, 0.000], [0.000, 0.000, 3.005]], "species": ["Ta", "Be", "Zn"], "frac_coords": [[0.000, 0.000, 0.000], [0.667, 0.333, 0.500], [0.333, 0.667, 0.500]]}

Entry D
{"formula": "TaBeZn", "functional": "GGA-PBE", "state": "relaxed", "sg": "I4/mmm", "lattice": [[-1.756, 1.756, 6.436], [1.756, -1.756, 6.436], [1.756, 1.756, -6.436]], "species": ["Ta", "Ta", "Be", "Be", "Zn", "Zn"], "frac_coords": [[0.180, 0.180, 0.000], [0.820, 0.820, 0.000], [0.372, 0.372, 0.000], [0.628, 0.628, 0.000], [0.000, 0.500, 0.500], [0.500, 0.000, 0.500]]}

Energetically preferred structure: entry D | next structure: +0.105 eV/atom